[1]
{"formula": "RbDyPt", "functional": "PBE", "state": "optimized geometry", "spacegroup": "F-43m (216)", "energy_ev_per_cell": -11.711, "m_tot_mub_per_fu": 0.000, "cell": [[-0.5245, -0.1850, 5.0438], [-0.3024, 4.2991, 2.6788], [-4.3965, 1.3490, 2.1449]], "species": ["Rb", "Pt", "Dy"], "fractional_positions": [[0.7500, 0.7500, 0.7500], [0.0000, 0.0000, 0.0000], [0.2500, 0.2500, 0.2500]]}

***

[2]
{"formula": "Ta4FeGeC2", "functional": "PBE", "state": "optimized geometry", "spacegroup": "P-6m2 (187)", "energy_ev_per_cell": -81.576, "m_tot_mub_per_fu": 1.569, "cell": [[3.1274, 0.0000, 0.0000], [-1.5637, 2.7084, 0.0000], [0.0000, 0.0000, 13.0644]], "species": ["Ta", "Ta", "Ta", "Ta", "C", "C", "Ge", "Fe"], "fractional_positions": [[0.6667, 0.3333, 0.1501], [0.0000, 0.0000, 0.6582], [0.0000, 0.0000, 0.3418], [0.6667, 0.3333, 0.8499], [0.3333, 0.6667, 0.2458], [0.3333, 0.6667, 0.7542], [0.6667, 0.3333, 0.5000], [0.0000, 0.0000, 0.0000]]}

***

[3]
{"formula": "K2CdFeBr6", "functional": "PBE", "state": "optimized geometry", "spacegroup": "Fm-3m (225)", "energy_ev_per_cell": -31.468, "m_tot_mub_per_fu": 4.010, "cell": [[0.0000, 5.3819, 5.3819], [5.3819, 0.0000, 5.3819], [5.3819, 5.3819, 0.0000]], "species": ["Br", "Br", "Br", "Br", "Br", "Br", "Fe", "K", "K", "Cd"], "fractional_positions": [[0.2577, 0.7423, 0.2577], [0.2577, 0.7423, 0.7423], [0.7423, 0.2577, 0.7423], [0.2577, 0.2577, 0.7423], [0.7423, 0.2577, 0.2577], [0.7423, 0.7423, 0.2577], [0.5000, 0.5000, 0.5000], [0.2500, 0.2500, 0.2500], [0.7500, 0.7500, 0.7500], [0.0000, 0.0000, 0.0000]]}